Entry 1:
The following is a GGA-PBE calculation of an optimized crystal structure of HfGeNO, from OQMD.

abc: 3.3040 6.6057 6.3843
angles: 90.00 90.00 90.00
Fractional coordinates of all 8 atoms:
1 Hf 0.0000 0.1773 0.0000
2 Hf 0.0000 0.8227 0.5000
3 Ge 0.5000 0.2183 0.4496
4 Ge 0.5000 0.7817 0.9496
5 N 0.0000 0.0760 0.3098
6 N 0.0000 0.9240 0.8098
7 O 0.5000 0.3234 0.9248
8 O 0.5000 0.6766 0.4248

- Energy above the most stable polymorph in this dataset: 0.77 eV/f.u.
- Space group: No. 26

Entry 2:
The following is a GGA-PBE calculation of an optimized crystal structure of NaTbHg, from OQMD.

abc: 4.9163 4.9163 4.9163
angles: 60.00 60.00 60.00
Fractional coordinates of all 3 atoms:
1 Na 0.0000 0.0000 0.0000
2 Tb 0.2500 0.2500 0.2500
3 Hg 0.7500 0.7500 0.7500

- E_tot: -1.761 eV per atom
- Space group: No. 216

Entry 3:
The following is a GGA-PBE calculation of an optimized crystal structure of AlZn, from OQMD.

abc: 5.6011 14.5351 4.6879
angles: 90.00 90.00 90.00
Fractional coordinates of all 24 atoms:
1 Al 0.1241 0.1944 0.2500
2 Al 0.1241 0.3056 0.7500
3 Al 0.1254 0.5278 0.2500
4 Al 0.1254 0.9722 0.7500
5 Al 0.3753 0.0281 0.2500
6 Al 0.3753 0.4719 0.7500
7 Al 0.6247 0.5281 0.2500
8 Al 0.6247 0.9719 0.7500
9 Al 0.8746 0.0278 0.2500
10 Al 0.8746 0.4722 0.7500
11 Al 0.8759 0.6944 0.2500
12 Al 0.8759 0.8056 0.7500
13 Zn 0.1269 0.6404 0.7500
14 Zn 0.1269 0.8596 0.2500
15 Zn 0.3753 0.6950 0.2500
16 Zn 0.3753 0.8050 0.7500
17 Zn 0.3762 0.1403 0.7500
18 Zn 0.3762 0.3597 0.2500
19 Zn 0.6238 0.6403 0.7500
20 Zn 0.6238 0.8597 0.2500
21 Zn 0.6247 0.1950 0.2500
22 Zn 0.6247 0.3050 0.7500
23 Zn 0.8731 0.1404 0.7500
24 Zn 0.8731 0.3596 0.2500

- E_tot: -2.442 eV per atom
- Space group: No. 57